# 1
KScCdCl6: relaxed, PBE-GGA.

Results
The total magnetization comes out at 0.0 Bohr magnetons per cell. The calculated total energy comes out at -3.923 eV/atom. The formation energy (no corrections) is -1764.6 meV per atom.

Cell: 6.7647 6.7647 13.7567 Å, 90.00 90.00 120.00°
Positions (direct):
Cl  0.6352  0.6183  0.1433
Cl  0.3817  0.3648  0.3567
Cl  0.0169  0.3817  0.6433
Cl  0.6183  0.9831  0.8567
Cl  0.3648  0.9831  0.6433
Cl  0.9831  0.6183  0.3567
Cl  0.6352  0.0169  0.3567
Cl  0.6183  0.6352  0.6433
Cl  0.9831  0.3648  0.1433
Cl  0.3648  0.3817  0.8567
Cl  0.0169  0.6352  0.8567
Cl  0.3817  0.0169  0.1433
K  0.0000  0.0000  0.0000
K  0.0000  0.0000  0.5000
Cd  0.3333  0.6667  0.2500
Cd  0.6667  0.3333  0.7500
Sc  0.6667  0.3333  0.2500
Sc  0.3333  0.6667  0.7500


# 2
KCdSeCl: relaxed, PBE-GGA.

Results
The total magnetization comes out at 0.0 Bohr magnetons per cell. The calculated total energy comes out at -3.019 eV/atom. The formation energy (no corrections) is -1183.4 meV per atom.

Cell: 4.3652 4.3662 8.1575 Å, 74.47 74.47 60.00°
Positions (direct):
Se  0.9424  0.2051  0.8613
Cd  0.5669  0.8295  0.9879
K  0.7181  0.9812  0.5340
Cl  0.4565  0.7191  0.3197


# 3
K3Cd2SnCl9: relaxed, PBE-GGA.

Results
The total magnetization comes out at 0.0 Bohr magnetons per cell. The calculated total energy comes out at -3.110 eV/atom. The formation energy (no corrections) is -1393.7 meV per atom.

Cell: 7.5141 7.5141 9.5205 Å, 90.00 90.00 120.00°
Positions (direct):
Cl  0.3315  0.1658  0.6847
Cl  0.5000  0.0000  0.0000
Cl  0.8342  0.6685  0.6847
Cl  0.1658  0.3315  0.3153
Cl  0.0000  0.5000  0.0000
Cl  0.1658  0.8342  0.3153
Cl  0.5000  0.5000  0.0000
Cl  0.6685  0.8342  0.3153
Cl  0.8342  0.1658  0.6847
K  0.0000  0.0000  0.0000
K  0.6667  0.3333  0.2728
K  0.3333  0.6667  0.7272
Sn  0.0000  0.0000  0.5000
Cd  0.6667  0.3333  0.8339
Cd  0.3333  0.6667  0.1661


# 4
KCdSnCl5: relaxed, PBE-GGA.

Results
The total magnetization comes out at 0.0 Bohr magnetons per cell. The calculated total energy comes out at -3.180 eV/atom. The formation energy (no corrections) is -1274.3 meV per atom.

Cell: 7.7588 7.7588 10.1759 Å, 103.63 103.63 106.88°
Positions (direct):
Cl  0.9090  0.0910  0.7500
Cl  0.2688  0.3809  0.5604
Cl  0.0910  0.9090  0.2500
Cl  0.6655  0.0794  0.3784
Cl  0.7312  0.6191  0.4396
Cl  0.0794  0.6655  0.8784
Cl  0.3345  0.9206  0.6216
Cl  0.3809  0.2688  0.0604
Cl  0.9206  0.3345  0.1216
Cl  0.6191  0.7312  0.9396
K  0.6572  0.3428  0.7500
K  0.3428  0.6572  0.2500
Cd  0.3181  0.6819  0.7500
Cd  0.6819  0.3181  0.2500
Sn  0.0000  0.0000  0.0000
Sn  0.0000  0.0000  0.5000


# 5
K2CdSnCl6: relaxed, PBE-GGA.

Results
The total magnetization comes out at 0.0 Bohr magnetons per cell. The calculated total energy comes out at -3.238 eV/atom. The formation energy (no corrections) is -1418.4 meV per atom.

Cell: 7.5216 7.5213 7.6118 Å, 60.39 60.39 59.99°
Positions (direct):
K  0.5402  0.5402  0.3795
K  0.0394  0.0394  0.8818
Cl  0.5738  0.1680  0.2692
Cl  0.1679  0.9890  0.2692
Cl  0.4734  0.6516  0.7824
Cl  0.6515  0.0925  0.7826
Cl  0.9890  0.5739  0.2691
Cl  0.0925  0.4734  0.7825
Sn  0.8165  0.8166  0.5504
Cd  0.3171  0.3171  0.0486


# 6
KTbCdCl6: relaxed, PBE-GGA.

Results
The total magnetization comes out at 0.0 Bohr magnetons per cell. The calculated total energy comes out at -3.811 eV/atom. The formation energy (no corrections) is -1841.9 meV per atom.

Cell: 6.9489 6.9489 13.8362 Å, 90.00 90.00 120.00°
Positions (direct):
K  0.0000  0.0000  0.0000
K  0.0000  0.0000  0.5000
Cl  0.0000  0.3715  0.6399
Cl  0.0000  0.6285  0.3601
Cl  0.6285  0.6285  0.1399
Cl  0.3715  0.0000  0.6399
Cl  0.6285  0.6285  0.6399
Cl  0.3715  0.3715  0.8601
Cl  0.0000  0.6285  0.8601
Cl  0.6285  0.0000  0.8601
Cl  0.3715  0.0000  0.1399
Cl  0.0000  0.3715  0.1399
Cl  0.6285  0.0000  0.3601
Cl  0.3715  0.3715  0.3601
Tb  0.6667  0.3333  0.2500
Tb  0.3333  0.6667  0.7500
Cd  0.3333  0.6667  0.2500
Cd  0.6667  0.3333  0.7500


# 7
KTl2CdCl5: relaxed, PBE-GGA.

Results
The total magnetization comes out at 0.0 Bohr magnetons per cell. The calculated total energy comes out at -2.998 eV/atom. The formation energy (no corrections) is -1222.8 meV per atom.

Cell: 5.1440 7.4324 8.9080 Å, 114.66 106.78 90.00°
Positions (direct):
Cd  0.5000  0.0000  0.0000
Tl  0.2073  0.2073  0.4146
Tl  0.7927  0.7927  0.5854
Cl  0.6240  0.3745  0.2481
Cl  0.6240  0.8736  0.2481
Cl  0.0000  0.0000  0.0000
Cl  0.3760  0.1264  0.7519
Cl  0.3760  0.6255  0.7519
K  0.0000  0.5000  0.0000


# 8
K2Tl3CdCl6: relaxed, PBE-GGA.

Results
The total magnetization comes out at 1.0 Bohr magnetons per cell. The calculated total energy comes out at -2.981 eV/atom. The formation energy (no corrections) is -1207.4 meV per atom.

Cell: 7.8055 7.8055 7.8463 Å, 99.54 99.54 120.03°
Last column: magnetic moment on the atom in μB.
Positions (direct):
Cl  0.0786  0.4040  0.2361  0.04
Cl  0.5960  0.9214  0.7639  0.04
Cl  0.2454  0.2454  0.7598  0.04
Cl  0.7546  0.7546  0.2402  0.04
Cl  0.4040  0.0786  0.2361  0.04
Cl  0.9214  0.5960  0.7639  0.04
K  0.6661  0.3339  0.0000  0.00
K  0.3339  0.6661  0.0000  0.00
Tl  0.1680  0.8320  0.5000  0.01
Tl  0.8320  0.1680  0.5000  0.01
Tl  0.5000  0.5000  0.5000  0.01
Cd  0.0000  0.0000  0.0000  0.32


# 9
KTlCdCl6: relaxed, PBE-GGA.

Results
The total magnetization comes out at 0.0 Bohr magnetons per cell. The calculated total energy comes out at -2.842 eV/atom. The formation energy (no corrections) is -1124.7 meV per atom.

Cell: 6.8695 6.8697 6.9482 Å, 90.00 90.00 60.00°
Positions (direct):
Tl  0.3333  0.3334  0.5000
K  0.0000  0.0000  0.0000
Cd  0.6666  0.6667  0.4999
Cl  0.6272  0.3701  0.7193
Cl  0.0026  0.3701  0.2808
Cl  0.3701  0.6273  0.2807
Cl  0.0026  0.6273  0.7192
Cl  0.6272  0.0027  0.2808
Cl  0.3701  0.0026  0.7193


# 10
KTl2CdCl6: relaxed, PBE-GGA.

Results
The total magnetization comes out at 0.2 Bohr magnetons per cell. The calculated total energy comes out at -2.904 eV/atom. The formation energy (no corrections) is -1121.6 meV per atom.

Cell: 7.3512 7.3510 8.1236 Å, 63.09 63.07 59.93°
Last column: magnetic moment on the atom in μB.
Positions (direct):
Cl  0.3861  0.7056  0.7773  0.02
Cl  0.7060  0.1302  0.7777  0.02
Cl  0.1309  0.3861  0.7773  0.02
Cl  0.2001  0.9839  0.2337  0.01
Cl  0.5821  0.2004  0.2337  0.01
Cl  0.9836  0.5828  0.2334  0.01
Cd  0.3258  0.3256  0.0227  0.00
K  0.8105  0.8106  0.5679  0.00
Tl  0.0092  0.0094  0.9728  0.06
Tl  0.5273  0.5271  0.4189  0.00


# 11
KTl4Cd3Cl12: relaxed, PBE-GGA.

Results
The total magnetization comes out at 0.0 Bohr magnetons per cell. The calculated total energy comes out at -2.774 eV/atom. The formation energy (no corrections) is -1000.2 meV per atom.

Cell: 9.3038 9.3038 9.3038 Å, 109.47 109.47 109.47°
Positions (direct):
Cl  0.5000  0.7500  0.2500
Cl  0.2500  0.5000  0.7500
Cl  0.5000  0.2500  0.7500
Cl  0.0000  0.2685  0.2685
Cl  0.7500  0.2500  0.5000
Cl  0.7500  0.5000  0.2500
Cl  0.2685  0.0000  0.2685
Cl  0.2500  0.7500  0.5000
Cl  0.7315  0.7315  0.0000
Cl  0.7315  0.0000  0.7315
Cl  0.0000  0.7315  0.7315
Cl  0.2685  0.2685  0.0000
Tl  0.0000  0.0000  0.5000
Tl  0.0000  0.5000  0.0000
Tl  0.5000  0.0000  0.0000
Tl  0.5000  0.5000  0.5000
Cd  0.0000  0.5000  0.5000
Cd  0.5000  0.5000  0.0000
Cd  0.5000  0.0000  0.5000
K  0.0000  0.0000  0.0000


# 12
KTmCdCl6: relaxed, PBE-GGA.

Results
The total magnetization comes out at 0.0 Bohr magnetons per cell. The calculated total energy comes out at -3.796 eV/atom. The formation energy (no corrections) is -1844.6 meV per atom.

Cell: 6.8831 6.8831 13.8556 Å, 90.00 90.00 120.00°
Positions (direct):
Cl  0.3688  0.3744  0.8588
Cl  0.0056  0.6312  0.8588
Cl  0.9944  0.6256  0.3588
Cl  0.3744  0.0056  0.1412
Cl  0.6312  0.0056  0.3588
Cl  0.3744  0.3688  0.3588
Cl  0.6256  0.6312  0.6412
Cl  0.0056  0.3744  0.6412
Cl  0.3688  0.9944  0.6412
Cl  0.6256  0.9944  0.8588
Cl  0.6312  0.6256  0.1412
Cl  0.9944  0.3688  0.1412
Tm  0.3333  0.6667  0.7500
Tm  0.6667  0.3333  0.2500
K  0.0000  0.0000  0.5000
K  0.0000  0.0000  0.0000
Cd  0.6667  0.3333  0.7500
Cd  0.3333  0.6667  0.2500


- formation energy (no corrections) of number 6 (KTbCdCl6)?
  -1841.9 meV per atom


- Number 2 is which compound?
  KCdSeCl


- Among the records above, which one has the highest formation energy (no corrections)?
  KTl4Cd3Cl12